Record 1
DFT (GGA-PBEsol) results for crystalline YTe at its relaxed geometry.

Cell: 5.974 5.974 4.991 Å, 91.55 91.55 37.45°
Fractional coordinates of all 4 atoms:
Y1 0.119 0.119 0.259
Y2 0.881 0.881 0.741
Te1 0.389 0.389 0.242
Te2 0.611 0.611 0.758

Computed properties:
**Raw formation energy**: -1.25 eV/atom
**Space-group type**: C2/m

---

Record 2
DFT (GGA-PBEsol) results for crystalline Hg3NO at its relaxed geometry.

Cell: 4.591 4.591 4.591 Å, 90.00 90.00 90.00°
Fractional coordinates of all 5 atoms:
Hg1 0.000 0.000 0.500
Hg2 0.000 0.500 0.000
Hg3 0.500 0.000 0.000
N1 0.500 0.500 0.500
O1 0.000 0.000 0.000

Computed properties:
**Raw formation energy**: 1.19 eV/atom
**Space-group type**: Pm-3m

---

Record 3
DFT (GGA-PBEsol) results for crystalline CsRb3 at its relaxed geometry.

Cell: 7.968 7.968 7.968 Å, 60.00 60.00 60.00°
Fractional coordinates of all 4 atoms:
Cs1 0.000 0.000 0.000
Rb1 0.250 0.250 0.250
Rb2 0.500 0.500 0.500
Rb3 0.750 0.750 0.750

Computed properties:
**Space-group type**: Fm-3m
**Calculated formation energy**: 0.000 eV per atom

---

Record 4
DFT (GGA-PBEsol) results for crystalline MoPb2W at its relaxed geometry.

Cell: 5.437 5.437 5.295 Å, 110.59 110.59 34.83°
Fractional coordinates of all 4 atoms:
Mo1 0.000 0.000 0.000
Pb1 0.557 0.557 0.537
Pb2 0.768 0.768 0.173
W1 0.327 0.327 0.716

Computed properties:
**Space-group type**: Cm
**Calculated formation energy**: 0.750 eV per atom

---

Record 5
DFT (GGA-PBEsol) results for crystalline CsAg2Te2 at its relaxed geometry.

Cell: 8.534 8.534 8.534 Å, 150.19 150.19 42.66°
Fractional coordinates of all 5 atoms:
Cs1 0.000 0.000 0.000
Ag1 0.250 0.750 0.500
Ag2 0.750 0.250 0.500
Te1 0.359 0.359 0.000
Te2 0.641 0.641 0.000

Computed properties:
**Raw formation energy**: -0.41 eV/atom
**Space-group type**: I4/mmm

---

Record 6
DFT (GGA-PBEsol) results for crystalline Li2ZnNi at its relaxed geometry.

Cell: 4.104 4.104 4.104 Å, 60.00 60.00 60.00°
Fractional coordinates of all 4 atoms:
Li1 0.000 0.000 0.000
Li2 0.250 0.250 0.250
Zn1 0.500 0.500 0.500
Ni1 0.750 0.750 0.750

Computed properties:
**Space-group type**: F-43m
**Calculated formation energy**: -0.108 eV per atom